Density functional theory data (GGA-PBE) for La5Pm3Er2 after structural relaxation.

Cell lengths 10.2185, 10.2312, 11.4242 Å; angles 129.56, 129.54, 64.98 degrees
Fractional coordinates of all 20 atoms:
La1 0.2729 0.5229 0.0458
La2 0.7271 0.4771 0.9542
La3 0.0265 0.7765 0.5530
La4 0.5194 0.2694 0.5388
La5 0.9735 0.2235 0.4470
La6 0.4806 0.7306 0.4612
La7 0.8801 0.6344 0.7556
La8 0.1199 0.3656 0.2444
La9 0.3755 0.1211 0.7556
La10 0.6245 0.8789 0.2444
Pm1 0.2312 0.9812 0.9625
Pm2 0.7688 0.0188 0.0375
Pm3 0.7191 0.4728 0.2502
Pm4 0.2809 0.5272 0.7498
Pm5 0.0311 0.7773 0.2502
Pm6 0.9689 0.2227 0.7498
Er1 0.7814 0.0333 0.7550
Er2 0.2186 0.9667 0.2450
Er3 0.4735 0.7216 0.7550
Er4 0.5265 0.2784 0.2450

Values from the calculation:
- DFT formation energy (eV per atom) = 0.148
- magnetic moment (μB per cell) = 0.000
- raw total energy (eV/cell) = -93.07
- DOS at the Fermi energy (states/eV per atom) = 1.67